Entry 1:
First-principles (GGA-PBE) data for an optimized crystal structure of La8Pt3SBr4, as listed in the Alexandria database.

The structure in CIF format:
```
data_La8Pt3SBr4
_cell_length_a 8.5287
_cell_length_b 8.5287
_cell_length_c 22.7973
_cell_angle_alpha 90.00
_cell_angle_beta 90.00
_cell_angle_gamma 120.00
_space_group_name_H-M_alt 'R -3 m'
_space_group_IT_number 166
_space_group_name_Hall '-R 3 2"'
loop_
_atom_site_label
_atom_site_fract_x
_atom_site_fract_y
_atom_site_fract_z
La1 0.0000 0.0000 0.2333
La2 0.0016 0.5008 0.2379
Pt1 0.0000 0.5000 0.5000
S1 0.0000 0.0000 0.5000
Br1 0.0000 0.0000 0.0000
Br2 0.0000 0.5000 0.0000
```

## Properties
Uncorrected formation energy, eV/atom: -1.414
Uncorrected energy, eV/atom: -5.6868



Entry 2:
First-principles (GGA-PBE) data for an optimized crystal structure of LiCuP2, as listed in the Alexandria database.

The structure in CIF format:
```
data_LiCuP2
_cell_length_a 2.9697
_cell_length_b 2.9697
_cell_length_c 22.3032
_cell_angle_alpha 90.00
_cell_angle_beta 90.00
_cell_angle_gamma 120.00
_space_group_name_H-M_alt 'R -3 m'
_space_group_IT_number 166
_space_group_name_Hall '-R 3 2"'
loop_
_atom_site_label
_atom_site_fract_x
_atom_site_fract_y
_atom_site_fract_z
Li1 0.0000 0.0000 0.0000
Cu1 0.0000 0.0000 0.5000
P1 0.0000 0.0000 0.2443
```

## Properties
Energy relative to the lowest polymorph listed for this composition, kJ/mol of atoms: 16.6
Calculated formation energy, meV per atom: 8
Uncorrected energy, eV/atom: -4.1995



Entry 3:
First-principles (GGA-PBE) data for an optimized crystal structure of Tl2FeGe, as listed in the Alexandria database.

The structure in CIF format:
```
data_Tl2FeGe
_cell_length_a 6.940
_cell_length_b 6.940
_cell_length_c 6.940
_cell_angle_alpha 90.00
_cell_angle_beta 90.00
_cell_angle_gamma 90.00
_space_group_name_H-M_alt 'F m -3 m'
_space_group_IT_number 225
_space_group_name_Hall '-F 4 2 3'
loop_
_atom_site_label
_atom_site_fract_x
_atom_site_fract_y
_atom_site_fract_z
Tl1 0.250 0.250 0.250
Fe1 0.000 0.000 0.000
Ge1 0.000 0.000 0.500
```

## Properties
Energy relative to the lowest polymorph listed for this composition, kJ/mol of atoms: 61.3
Calculated formation energy, meV per atom: 876
Uncorrected energy, eV/atom: -3.5775



Entry 4:
First-principles (GGA-PBE) data for an optimized crystal structure of BaYOs2, as listed in the Alexandria database.

The structure in CIF format:
```
data_BaYOs2
_cell_length_a 6.982
_cell_length_b 6.982
_cell_length_c 6.982
_cell_angle_alpha 90.00
_cell_angle_beta 90.00
_cell_angle_gamma 90.00
_space_group_name_H-M_alt 'F -4 3 m'
_space_group_IT_number 216
_space_group_name_Hall 'F -4 2 3'
loop_
_atom_site_label
_atom_site_fract_x
_atom_site_fract_y
_atom_site_fract_z
Ba1 0.000 0.000 0.000
Y1 0.250 0.250 0.750
Os1 0.000 0.000 0.500
Os2 0.250 0.250 0.250
```

## Properties
Energy relative to the lowest polymorph listed for this composition, kJ/mol of atoms: 81.6
Calculated formation energy, meV per atom: 950
Uncorrected energy, eV/atom: -6.7616



Entry 5:
First-principles (GGA-PBE) data for an optimized crystal structure of Dy2HgPb4, as listed in the Alexandria database.

The structure in CIF format:
```
data_Dy2HgPb4
_cell_length_a 7.931
_cell_length_b 10.273
_cell_length_c 5.066
_cell_angle_alpha 90.00
_cell_angle_beta 90.00
_cell_angle_gamma 90.00
_space_group_name_H-M_alt 'C m m m'
_space_group_IT_number 65
_space_group_name_Hall '-C 2 2'
loop_
_atom_site_label
_atom_site_fract_x
_atom_site_fract_y
_atom_site_fract_z
Dy1 0.000 0.206 0.000
Hg1 0.000 0.000 0.500
Pb1 0.196 0.500 0.000
Pb2 0.250 0.250 0.500
```

## Properties
Energy relative to the lowest polymorph listed for this composition, kJ/mol of atoms: 0.0
Calculated formation energy, meV per atom: -286
Uncorrected energy, eV/atom: -3.7627



Entry 6:
First-principles (GGA-PBE) data for an optimized crystal structure of CeEuNiAu, as listed in the Alexandria database.

The structure in CIF format:
```
data_CeEuNiAu
_cell_length_a 7.207
_cell_length_b 7.207
_cell_length_c 7.207
_cell_angle_alpha 90.00
_cell_angle_beta 90.00
_cell_angle_gamma 90.00
_space_group_name_H-M_alt 'F -4 3 m'
_space_group_IT_number 216
_space_group_name_Hall 'F -4 2 3'
loop_
_atom_site_label
_atom_site_fract_x
_atom_site_fract_y
_atom_site_fract_z
Ce1 0.000 0.000 0.000
Eu1 0.000 0.000 0.500
Ni1 0.250 0.250 0.250
Au1 0.250 0.250 0.750
```

## Properties
Calculated formation energy, meV per atom: -360
Uncorrected energy, eV/atom: -6.6769



Entry 7:
First-principles (GGA-PBE) data for an optimized crystal structure of Li3YPt3, as listed in the Alexandria database.

The structure in CIF format:
```
data_Li3YPt3
_cell_length_a 6.369
_cell_length_b 6.369
_cell_length_c 6.369
_cell_angle_alpha 90.00
_cell_angle_beta 90.00
_cell_angle_gamma 90.00
_space_group_name_H-M_alt 'P m -3 n'
_space_group_IT_number 223
_space_group_name_Hall '-P 4n 2 3'
loop_
_atom_site_label
_atom_site_fract_x
_atom_site_fract_y
_atom_site_fract_z
Li1 0.000 0.250 0.500
Y1 0.000 0.000 0.000
Pt1 0.000 0.500 0.250
```

## Properties
Calculated formation energy, meV per atom: -2
Uncorrected energy, eV/atom: -4.3344



Entry 8:
First-principles (GGA-PBE) data for an optimized crystal structure of La2P4Ir3Pd, as listed in the Alexandria database.

The structure in CIF format:
```
data_La2P4Ir3Pd
_cell_length_a 4.284
_cell_length_b 4.284
_cell_length_c 9.522
_cell_angle_alpha 90.00
_cell_angle_beta 90.00
_cell_angle_gamma 90.00
_space_group_name_H-M_alt 'P -4 m 2'
_space_group_IT_number 115
_space_group_name_Hall 'P -4 -2'
loop_
_atom_site_label
_atom_site_fract_x
_atom_site_fract_y
_atom_site_fract_z
La1 0.000 0.500 0.242
P1 0.000 0.000 0.000
P2 0.000 0.500 0.638
P3 0.500 0.500 0.000
Ir1 0.000 0.500 0.890
Ir2 0.500 0.500 0.500
Pd1 0.000 0.000 0.500
```

## Properties
Calculated formation energy, meV per atom: -1032
Uncorrected energy, eV/atom: -7.3593